1.
A geometry-optimized Nd6YHoSc2 structure. Source: Alexandria, functional PBE.

a = 9.567 Å, b = 8.831 Å, c = 8.831 Å
α = 118.10°, β = 94.18°, γ = 94.18°
Element x y z (fractional)
Nd 0.051 0.112 0.763
Nd 0.449 0.237 0.888
Nd 0.949 0.888 0.237
Nd 0.551 0.763 0.112
Nd 0.315 0.989 0.440
Nd 0.185 0.560 0.011
Nd 0.685 0.011 0.560
Nd 0.815 0.440 0.989
Nd 0.118 0.702 0.497
Nd 0.382 0.503 0.298
Nd 0.882 0.298 0.503
Nd 0.618 0.497 0.702
Y 0.250 0.972 0.028
Y 0.750 0.028 0.972
Ho 0.250 0.409 0.591
Ho 0.750 0.591 0.409
Sc 0.452 0.802 0.702
Sc 0.048 0.298 0.198
Sc 0.548 0.198 0.298
Sc 0.952 0.702 0.802

Properties
Volume (Å³/atom): 32.6
Final energy (eV per atom): -5.109
Magnetic moment (μB/f.u.): 0.00
Energy of formation (eV/atom): 0.122
SG: C2/c

***

2.
A geometry-optimized Nd6Y3Ho2Sc structure. Source: Alexandria, functional PBE.

a = 6.246 Å, b = 6.246 Å, c = 11.771 Å
α = 95.06°, β = 95.06°, γ = 119.99°
Element x y z (fractional)
Nd 0.918 0.587 0.754
Nd 0.752 0.752 0.246
Nd 0.082 0.413 0.246
Nd 0.587 0.918 0.754
Nd 0.248 0.248 0.754
Nd 0.413 0.082 0.246
Y 0.167 0.833 0.500
Y 0.833 0.167 0.500
Y 0.500 0.500 0.500
Ho 0.333 0.667 0.000
Ho 0.667 0.333 0.000
Sc 0.000 0.000 0.000

Properties
Volume (Å³/atom): 32.6
Final energy (eV per atom): -5.268
Magnetic moment (μB/f.u.): 0.00
Energy of formation (eV/atom): 0.022
SG: C2/m

***

3.
A geometry-optimized NdYHo2Sc4 structure. Source: Alexandria, functional PBE.

a = 4.924 Å, b = 4.921 Å, c = 10.530 Å
α = 62.15°, β = 90.00°, γ = 90.00°
Element x y z (fractional)
Nd 0.000 0.500 0.500
Y 0.500 0.500 0.000
Ho 0.000 0.000 0.000
Ho 0.500 0.000 0.500
Sc 0.000 0.749 0.751
Sc 0.000 0.251 0.249
Sc 0.500 0.751 0.249
Sc 0.500 0.249 0.751

Properties
Volume (Å³/atom): 28.2
Final energy (eV per atom): -5.658
Magnetic moment (μB/f.u.): 0.02
Energy of formation (eV/atom): 0.056
SG: P4/mmm

***

4.
A geometry-optimized NdYHoSc structure. Source: Alexandria, functional PBE.

a = 5.585 Å, b = 5.585 Å, c = 5.585 Å
α = 60.00°, β = 60.00°, γ = 60.00°
Element x y z (fractional)
Y 0.750 0.750 0.750
Sc 0.000 0.000 0.000
Nd 0.250 0.250 0.250
Ho 0.500 0.500 0.500

Properties
Volume (Å³/atom): 30.8
Final energy (eV per atom): -5.422
Magnetic moment (μB/f.u.): 0.00
ΔE to the lowest computed polymorph (kcal/mol of atoms): 0.17
Energy of formation (eV/atom): 0.114
SG: F-43m

***

5.
A geometry-optimized NdY6Ho2Sc3 structure. Source: Alexandria, functional PBE.

a = 6.078 Å, b = 6.078 Å, c = 11.537 Å
α = 95.03°, β = 95.03°, γ = 119.98°
Element x y z (fractional)
Nd 0.000 0.000 0.000
Y 0.913 0.579 0.740
Y 0.753 0.753 0.260
Y 0.087 0.421 0.260
Y 0.579 0.913 0.740
Y 0.247 0.247 0.740
Y 0.421 0.087 0.260
Ho 0.333 0.667 0.000
Ho 0.667 0.333 0.000
Sc 0.167 0.833 0.500
Sc 0.833 0.167 0.500
Sc 0.500 0.500 0.500

Properties
Volume (Å³/atom): 30.3
Final energy (eV per atom): -5.923
Magnetic moment (μB/f.u.): 0.00
Energy of formation (eV/atom): 0.052
SG: C2/m

***

6.
A geometry-optimized Nd4Y2HoSc structure. Source: Alexandria, functional PBE.

a = 5.120 Å, b = 5.107 Å, c = 11.164 Å
α = 62.77°, β = 90.00°, γ = 90.00°
Element x y z (fractional)
Nd 0.000 0.755 0.745
Nd 0.000 0.245 0.255
Nd 0.500 0.745 0.255
Nd 0.500 0.255 0.745
Y 0.000 0.000 0.000
Y 0.500 0.000 0.500
Ho 0.500 0.500 0.000
Sc 0.000 0.500 0.500

Properties
Volume (Å³/atom): 32.4
Final energy (eV per atom): -5.334
Magnetic moment (μB/f.u.): 0.00
Energy of formation (eV/atom): 0.029
SG: Pmmm

***

7.
A geometry-optimized NdY2Ho6Sc structure. Source: Alexandria, functional PBE.

a = 8.690 Å, b = 9.056 Å, c = 9.056 Å
α = 118.00°, β = 90.66°, γ = 90.66°
Element x y z (fractional)
Nd 0.250 0.963 0.037
Nd 0.750 0.037 0.963
Y 0.440 0.789 0.679
Y 0.060 0.321 0.211
Y 0.560 0.211 0.321
Y 0.940 0.679 0.789
Ho 0.055 0.127 0.788
Ho 0.445 0.212 0.873
Ho 0.945 0.873 0.212
Ho 0.555 0.788 0.127
Ho 0.297 0.041 0.461
Ho 0.203 0.539 0.959
Ho 0.703 0.959 0.539
Ho 0.797 0.461 0.041
Ho 0.090 0.733 0.470
Ho 0.410 0.530 0.267
Ho 0.910 0.267 0.530
Ho 0.590 0.470 0.733
Sc 0.250 0.439 0.561
Sc 0.750 0.561 0.439

Properties
Volume (Å³/atom): 31.5
Final energy (eV per atom): -5.022
Magnetic moment (μB/f.u.): 0.00
Energy of formation (eV/atom): 0.127
SG: C2/c

***

8.
A geometry-optimized NdYHo5Sc2 structure. Source: Alexandria, functional PBE.

a = 5.576 Å, b = 11.046 Å, c = 9.342 Å
α = 90.00°, β = 90.00°, γ = 104.62°
Element x y z (fractional)
Nd 0.597 0.195 0.916
Nd 0.403 0.805 0.416
Y 0.811 0.621 0.519
Y 0.189 0.379 0.019
Ho 0.391 0.782 0.043
Ho 0.735 0.469 0.834
Ho 0.468 0.937 0.749
Ho 0.307 0.615 0.722
Ho 0.992 0.984 0.522
Ho 0.609 0.218 0.543
Ho 0.265 0.531 0.334
Ho 0.532 0.063 0.249
Ho 0.693 0.385 0.222
Ho 0.008 0.016 0.022
Sc 0.887 0.773 0.825
Sc 0.143 0.286 0.693
Sc 0.113 0.227 0.325
Sc 0.857 0.714 0.193

Properties
Volume (Å³/atom): 30.9
Final energy (eV per atom): -5.027
Magnetic moment (μB/f.u.): 0.00
Energy of formation (eV/atom): 0.172
SG: Cmc2_1

***

9.
A geometry-optimized Nd2YHo4Sc structure. Source: Alexandria, functional PBE.

a = 5.016 Å, b = 5.015 Å, c = 11.151 Å
α = 63.28°, β = 90.00°, γ = 90.00°
Element x y z (fractional)
Nd 0.000 0.000 0.000
Nd 0.500 0.000 0.500
Y 0.500 0.500 0.000
Ho 0.000 0.756 0.744
Ho 0.000 0.244 0.256
Ho 0.500 0.745 0.255
Ho 0.500 0.255 0.745
Sc 0.000 0.500 0.500

Properties
Volume (Å³/atom): 31.3
Final energy (eV per atom): -5.044
Magnetic moment (μB/f.u.): 0.00
Energy of formation (eV/atom): 0.036
SG: P4/mmm

***

10.
A geometry-optimized Nd5Y2HoSc structure. Source: Alexandria, functional PBE.

a = 5.389 Å, b = 11.321 Å, c = 10.235 Å
α = 90.00°, β = 90.00°, γ = 103.77°
Element x y z (fractional)
Nd 0.374 0.748 0.008
Nd 0.722 0.443 0.821
Nd 0.500 0.000 0.758
Nd 0.279 0.558 0.696
Nd 0.001 0.001 0.508
Nd 0.626 0.252 0.508
Nd 0.278 0.557 0.321
Nd 0.500 0.000 0.258
Nd 0.721 0.442 0.196
Nd 0.999 0.999 0.008
Y 0.884 0.769 0.756
Y 0.116 0.232 0.760
Y 0.116 0.231 0.256
Y 0.884 0.768 0.260
Ho 0.601 0.203 0.008
Ho 0.399 0.797 0.508
Sc 0.786 0.572 0.509
Sc 0.214 0.428 0.009

Properties
Volume (Å³/atom): 33.7
Final energy (eV per atom): -5.175
Magnetic moment (μB/f.u.): 0.00
Energy of formation (eV/atom): 0.122
SG: Cmc2_1

***

11.
A geometry-optimized NdHoScZn structure. Source: Alexandria, functional PBE.

a = 3.486 Å, b = 3.486 Å, c = 8.552 Å
α = 90.00°, β = 90.00°, γ = 90.00°
Element x y z (fractional)
Nd 0.000 0.000 0.086
Ho 0.500 0.500 0.773
Sc 0.500 0.500 0.375
Zn 0.000 0.000 0.551

Properties
Volume (Å³/atom): 26.0
Final energy (eV per atom): -4.390
Magnetic moment (μB/f.u.): 0.00
ΔE to the lowest computed polymorph (kcal/mol of atoms): 0.00
Energy of formation (eV/atom): -0.152
SG: P4mm

***

12.
A geometry-optimized NdHoScZn structure. Source: Alexandria, functional PBE.

a = 5.271 Å, b = 5.271 Å, c = 5.271 Å
α = 60.00°, β = 60.00°, γ = 60.00°
Element x y z (fractional)
Sc 0.500 0.500 0.500
Zn 0.000 0.000 0.000
Nd 0.750 0.750 0.750
Ho 0.250 0.250 0.250

Properties
Volume (Å³/atom): 25.9
Final energy (eV per atom): -4.243
Magnetic moment (μB/f.u.): 0.00
ΔE to the lowest computed polymorph (kcal/mol of atoms): 3.37
Energy of formation (eV/atom): -0.006
SG: F-43m

***

13.
A geometry-optimized NdHo2ZrSc4 structure. Source: Alexandria, functional PBE.

a = 4.790 Å, b = 4.800 Å, c = 10.493 Å
α = 62.82°, β = 90.00°, γ = 90.00°
Element x y z (fractional)
Nd 0.500 0.500 0.000
Ho 0.000 0.000 0.000
Ho 0.500 0.000 0.500
Zr 0.000 0.500 0.500
Sc 0.000 0.763 0.737
Sc 0.000 0.237 0.263
Sc 0.500 0.737 0.263
Sc 0.500 0.263 0.737

Properties
Volume (Å³/atom): 26.8
Final energy (eV per atom): -5.917
Magnetic moment (μB/f.u.): 0.00
Energy of formation (eV/atom): 0.058
SG: Pmmm

***

14.
A geometry-optimized NdHoZrSc structure. Source: Alexandria, functional PBE.

a = 5.394 Å, b = 5.394 Å, c = 5.394 Å
α = 60.00°, β = 60.00°, γ = 60.00°
Element x y z (fractional)
Sc 0.000 0.000 0.000
Nd 0.250 0.250 0.250
Ho 0.500 0.500 0.500
Zr 0.750 0.750 0.750

Properties
Volume (Å³/atom): 27.7
Final energy (eV per atom): -5.860
Magnetic moment (μB/f.u.): 0.47
Energy of formation (eV/atom): 0.196
SG: F-43m

***

15.
A geometry-optimized NdHo2Se4 structure. Source: Alexandria, functional PBE.

a = 4.019 Å, b = 7.019 Å, c = 13.847 Å
α = 90.00°, β = 90.00°, γ = 106.64°
Element x y z (fractional)
Nd 0.624 0.249 0.750
Nd 0.376 0.751 0.250
Ho 0.130 0.261 0.432
Ho 0.870 0.739 0.932
Ho 0.130 0.261 0.068
Ho 0.870 0.739 0.568
Se 0.774 0.548 0.119
Se 0.774 0.548 0.381
Se 0.226 0.452 0.881
Se 0.226 0.452 0.619
Se 0.961 0.922 0.750
Se 0.039 0.078 0.250
Se 0.500 0.000 0.000
Se 0.500 0.000 0.500

Properties
Volume (Å³/atom): 26.7
Formation energy from raw total energies (eV per atom): -1.86
Final energy (eV per atom): -5.839
Magnetic moment (μB/f.u.): 0.00
ΔE to the lowest computed polymorph (kcal/mol of atoms): 0.00
SG: Cmcm

***

16.
A geometry-optimized Nd2HoSe3 structure. Source: Alexandria, functional PBE.

a = 4.168 Å, b = 5.894 Å, c = 7.244 Å
α = 114.01°, β = 106.72°, γ = 90.00°
Element x y z (fractional)
Nd 0.827 0.827 0.155
Nd 0.173 0.173 0.845
Ho 0.500 0.500 0.500
Se 0.843 0.343 0.187
Se 0.157 0.657 0.813
Se 0.500 0.000 0.500

Properties
Volume (Å³/atom): 25.7
Formation energy from raw total energies (eV per atom): -1.80
Final energy (eV per atom): -5.890
Magnetic moment (μB/f.u.): 0.00
ΔE to the lowest computed polymorph (kcal/mol of atoms): 0.00
SG: Immm

***

17.
A geometry-optimized Nd2HoSe3 structure. Source: Alexandria, functional PBE.

a = 4.098 Å, b = 4.098 Å, c = 21.294 Å
α = 90.00°, β = 90.00°, γ = 120.00°
Element x y z (fractional)
Nd 0.333 0.667 0.917
Nd 0.667 0.333 0.083
Nd 0.667 0.333 0.417
Nd 0.333 0.667 0.583
Ho 0.000 0.000 0.250
Ho 0.000 0.000 0.750
Se 0.000 0.000 0.000
Se 0.333 0.667 0.170
Se 0.333 0.667 0.330
Se 0.000 0.000 0.500
Se 0.667 0.333 0.670
Se 0.667 0.333 0.830

Properties
Volume (Å³/atom): 25.8
Formation energy from raw total energies (eV per atom): -1.77
Final energy (eV per atom): -5.868
Magnetic moment (μB/f.u.): 0.00
ΔE to the lowest computed polymorph (kcal/mol of atoms): 0.50
SG: P6_3/mmc

***

18.
A geometry-optimized Nd3Ho2Se6 structure. Source: Alexandria, functional PBE.

a = 4.170 Å, b = 4.170 Å, c = 20.848 Å
α = 84.26°, β = 84.26°, γ = 60.00°
Element x y z (fractional)
Nd 0.000 0.000 0.000
Nd 0.277 0.277 0.168
Nd 0.723 0.723 0.832
Ho 0.448 0.448 0.655
Ho 0.552 0.552 0.345
Se 0.086 0.086 0.743
Se 0.914 0.914 0.257
Se 0.197 0.197 0.410
Se 0.803 0.803 0.590
Se 0.362 0.362 0.915
Se 0.638 0.638 0.085

Properties
Volume (Å³/atom): 28.3
Formation energy from raw total energies (eV per atom): -1.82
Final energy (eV per atom): -5.850
Magnetic moment (μB/f.u.): 0.00
SG: R-3m

***

19.
A geometry-optimized NdHo5Se6 structure. Source: Alexandria, functional PBE.

a = 7.077 Å, b = 7.077 Å, c = 7.090 Å
α = 99.53°, β = 99.53°, γ = 120.30°
Element x y z (fractional)
Nd 0.000 0.000 0.000
Ho 0.841 0.159 0.500
Ho 0.665 0.335 0.000
Ho 0.500 0.500 0.500
Ho 0.335 0.665 0.000
Ho 0.159 0.841 0.500
Se 0.430 0.085 0.257
Se 0.915 0.570 0.743
Se 0.260 0.260 0.749
Se 0.740 0.740 0.251
Se 0.085 0.430 0.257
Se 0.570 0.915 0.743

Properties
Volume (Å³/atom): 24.1
Formation energy from raw total energies (eV per atom): -1.74
Final energy (eV per atom): -5.789
Magnetic moment (μB/f.u.): 0.00
SG: C2/m

***

20.
A geometry-optimized Nd4HoSe6 structure. Source: Alexandria, functional PBE.

a = 8.327 Å, b = 8.327 Å, c = 8.327 Å
α = 88.95°, β = 88.95°, γ = 91.05°
Element x y z (fractional)
Nd 0.365 0.135 0.250
Nd 0.865 0.250 0.365
Nd 0.250 0.635 0.135
Nd 0.250 0.250 0.750
Nd 0.750 0.750 0.250
Nd 0.750 0.365 0.865
Nd 0.135 0.750 0.635
Nd 0.635 0.865 0.750
Ho 0.500 0.500 0.500
Ho 0.000 0.000 0.000
Se 0.682 0.061 0.084
Se 0.084 0.318 0.061
Se 0.584 0.439 0.182
Se 0.939 0.084 0.682
Se 0.561 0.182 0.584
Se 0.182 0.416 0.439
Se 0.818 0.584 0.561
Se 0.439 0.818 0.416
Se 0.061 0.916 0.318
Se 0.416 0.561 0.818
Se 0.916 0.682 0.939
Se 0.318 0.939 0.916

Properties
Volume (Å³/atom): 26.2
Formation energy from raw total energies (eV per atom): -1.74
Final energy (eV per atom): -5.789
Magnetic moment (μB/f.u.): 0.00
SG: R-3c